This record from the Alexandria database describes a crystal of LaRhW2 relaxed with PBEsol. The functional is SCAN.

a b c (Å): 3.314 3.314 7.118
angles (deg): 90.00 90.00 90.00
Atoms (fractional coordinates):
W: 0.000 0.000 0.329
W: 0.000 0.000 0.671
Rh: 0.500 0.500 0.500
La: 0.500 0.500 0.000

Results
ΔH_f (0 K)   0.577 eV per atom
Uncorrected energy   -1.966 Ha/atom
SG   P4/mmm (123)